The following is a DFT calculation (PBE-GGA) of a relaxed structure of Np2Be4Si3Rh.

```
Np2Be4Si3Rh
1.0
3.838 0.000 0.000
0.000 3.838 0.000
0.000 0.000 9.654
Np Be Si Rh
2 4 3 1
direct
0.500 0.000 0.247
0.000 0.500 0.753
0.500 0.500 0.000
0.000 0.000 0.000
0.500 0.000 0.633
0.000 0.500 0.367
0.000 0.000 0.500
0.500 0.000 0.868
0.000 0.500 0.132
0.500 0.500 0.500
```

Calculated values
* energy relative to the elements, uncorrected: -277.0 meV per atom
* total moment: 8.01 μB per cell
* calculated total energy: -0.4937 Ry per atom

The following is a DFT calculation (PBE-GGA) of a relaxed structure of Pr2InGa2Pd5.

```
Pr2InGa2Pd5
1.0
3.720 0.000 0.000
0.000 10.236 0.000
0.000 0.000 10.236
Pr In Ga Pd
4 2 4 10
direct
0.000 0.678 0.178
0.000 0.322 0.822
0.000 0.178 0.322
0.000 0.822 0.678
0.000 0.000 0.000
0.000 0.500 0.500
0.000 0.120 0.620
0.000 0.880 0.380
0.000 0.620 0.880
0.000 0.380 0.120
0.500 0.210 0.061
0.500 0.790 0.939
0.500 0.061 0.790
0.500 0.710 0.439
0.500 0.939 0.210
0.500 0.290 0.561
0.500 0.561 0.710
0.500 0.439 0.290
0.500 0.500 0.000
0.500 0.000 0.500
```

Calculated values
* energy relative to the elements: -0.689 eV/atom
* total moment: 0.00 μB per cell
* calculated total energy: -0.3763 Ry per atom

The following is a DFT calculation (PBE-GGA) of a relaxed structure of Nd2PuZr.

```
Nd2PuZr
1.0
-0.772 4.457 -1.726
-4.201 -1.523 -2.054
-2.434 1.170 4.110
Nd Zr Pu
2 1 1
direct
0.000 0.000 0.500
0.000 0.500 0.000
0.500 0.500 0.500
0.500 0.000 0.000
```

Calculated values
* energy relative to the elements: 0.233 eV/atom
* total moment: 5.91 μB per cell
* calculated total energy: -0.5785 Ry per atom

The following is a DFT calculation (PBE-GGA) of a relaxed structure of Na2CaZr.

```
Na2CaZr
1.0
0.000 3.962 3.962
3.962 0.000 3.962
3.962 3.962 0.000
Na Ca Zr
2 1 1
direct
0.250 0.250 0.250
0.750 0.750 0.750
0.000 0.000 0.000
0.500 0.500 0.500
```

Calculated values
* energy relative to the elements: 0.667 eV/atom
* total moment: 2.38 μB per cell
* calculated total energy: -0.1933 Ry per atom
* energy above the lowest structure with this stoichiometry: 0.0 meV/atom

The following is a DFT calculation (PBE-GGA) of a relaxed structure of NaHo2C.

```
NaHo2C
1.0
3.171 0.000 0.000
0.000 3.171 0.000
0.000 0.000 9.255
Na Ho C
1 2 1
direct
0.500 0.500 0.250
0.000 0.000 0.898
0.000 0.000 0.602
0.500 0.500 0.750
```

Calculated values
* energy relative to the elements: 0.311 eV/atom
* total moment: 0.00 μB per cell
* calculated total energy: -0.3391 Ry per atom
* energy above the lowest structure with this stoichiometry: 438.5 meV/atom

The following is a DFT calculation (PBE-GGA) of a relaxed structure of RbCoSe2Br.

```
RbCoSe2Br
1.0
-0.453 -3.888 -2.638
-1.470 -2.399 3.790
-5.754 1.529 -1.264
Co Se Br Rb
1 2 1 1
direct
0.000 0.000 0.000
0.000 0.500 0.000
0.500 0.000 0.000
0.000 0.000 0.500
0.500 0.500 0.500
```

Calculated values
* energy relative to the elements, uncorrected: -409.2 meV per atom
* total moment: 2.98 μB per cell
* calculated total energy: -0.2758 Ry per atom
* energy above the lowest structure with this stoichiometry: 0.0 meV/atom